{"formula": "PrErTh2Bi5", "functional": "GGA-PBE", "state": "relaxed", "cell": [[-1.3251, -4.7905, 2.5180], [4.1779, -2.5534, -2.6592], [7.2568, 2.6487, 8.8580]], "species": ["Pr", "Er", "Th", "Th", "Bi", "Bi", "Bi", "Bi", "Bi"], "fractional_positions": [[0.0000, 0.0000, 0.5000], [0.0000, 0.0000, 0.0000], [0.5000, 0.5000, 0.3010], [0.5000, 0.5000, 0.6990], [0.0000, 0.5000, 0.5000], [0.5000, 0.0000, 0.5000], [0.0000, 0.0000, 0.7568], [0.0000, 0.0000, 0.2432], [0.5000, 0.5000, 0.0000]], "e_tot_ev_per_atom": -4.64, "formation_enthalpy_0k_ev_per_atom": 0.203, "total_magnetization_mub_per_fu": 0.0}